(1)
Crystalline YTe2Br at its relaxed geometry. Source: the Alexandria database, functional PBE.

Cell: 11.3546 11.3546 11.3546 Å, 153.01 153.01 38.54°
Sites, in units of the cell vectors:
Y 0.0000 0.0000 0.0000
Y 0.7500 0.2500 0.5000
Te 0.3750 0.2342 0.3592
Te 0.7658 0.1250 0.1408
Te 0.8750 0.0158 0.6408
Te 0.9842 0.6250 0.8592
Br 0.2500 0.7500 0.5000
Br 0.5000 0.5000 0.0000

## Properties
Relative energy among the computed polymorphs: 0.460 eV per atom
Formation energy from raw total energies: -0.64 eV/atom
Calculated density: 4.68 Mg/m³
Space group: No. 122


(2)
Crystalline YTeBr2 at its relaxed geometry. Source: the Alexandria database, functional PBE.

Cell: 9.3676 9.3676 9.3676 Å, 25.93 25.93 25.93°
Sites, in units of the cell vectors:
Y 0.0000 0.0000 0.0000
Te 0.2668 0.2668 0.2668
Br 0.5068 0.5068 0.5068
Br 0.7275 0.7275 0.7275

## Properties
Relative energy among the computed polymorphs: 0.366 eV per atom
Formation energy from raw total energies: -0.95 eV/atom
Calculated density: 4.51 Mg/m³
Space group: No. 160


(3)
Crystalline YTe2Br at its relaxed geometry. Source: the Alexandria database, functional PBE.

Cell: 5.3974 5.3974 5.3974 Å, 60.00 60.00 60.00°
Sites, in units of the cell vectors:
Y 0.0000 0.0000 0.0000
Te 0.5000 0.5000 0.5000
Te 0.7500 0.7500 0.7500
Br 0.2500 0.2500 0.2500

## Properties
Relative energy among the computed polymorphs: 0.511 eV per atom
Formation energy from raw total energies: -0.59 eV/atom
Calculated density: 6.33 Mg/m³
Space group: No. 216


(4)
Crystalline YTe2Br at its relaxed geometry. Source: the Alexandria database, functional PBE.

Cell: 6.0233 6.0233 5.5252 Å, 102.91 102.91 37.49°
Sites, in units of the cell vectors:
Y 0.0000 0.0000 0.0000
Te 0.2850 0.2850 0.8020
Te 0.7150 0.7150 0.1980
Br 0.5000 0.5000 0.5000

## Properties
Relative energy among the computed polymorphs: 0.287 eV per atom
Formation energy from raw total energies: -0.81 eV/atom
Calculated density: 5.94 Mg/m³
Space group: No. 12


(5)
Crystalline YTeBr2 at its relaxed geometry. Source: the Alexandria database, functional PBE.

Cell: 4.7718 4.0468 7.9042 Å, 90.00 104.68 90.00°
Sites, in units of the cell vectors:
Y 0.0000 0.0000 0.0000
Te 0.5326 0.5000 0.0837
Br 0.1886 0.0000 0.3521
Br 0.8565 0.5000 0.7317

## Properties
Relative energy among the computed polymorphs: 0.130 eV per atom
Formation energy from raw total energies: -1.19 eV/atom
Calculated density: 4.23 Mg/m³
Space group: No. 6


(6)
Crystalline YTeBr at its relaxed geometry. Source: the Alexandria database, functional PBE.

Cell: 4.2846 4.2846 7.1430 Å, 90.00 90.00 120.00°
Sites, in units of the cell vectors:
Y 0.0000 0.0000 0.0000
Te 0.3333 0.6667 0.7657
Br 0.6667 0.3333 0.2386

## Properties
Formation energy from raw total energies: -1.56 eV/atom
Calculated density: 4.33 Mg/m³
Space group: No. 156


(7)
Crystalline YTeBr3 at its relaxed geometry. Source: the Alexandria database, functional PBE.

Cell: 5.7584 5.7584 5.7584 Å, 90.00 90.00 90.00°
Sites, in units of the cell vectors:
Y 0.0000 0.0000 0.0000
Te 0.5000 0.5000 0.5000
Br 0.0000 0.5000 0.5000
Br 0.5000 0.0000 0.5000
Br 0.5000 0.5000 0.0000

## Properties
Relative energy among the computed polymorphs: 1.034 eV per atom
Formation energy from raw total energies: 0.09 eV/atom
Calculated density: 3.97 Mg/m³
Space group: No. 221


(8)
Crystalline YTe2Br at its relaxed geometry. Source: the Alexandria database, functional PBE.

Cell: 5.4380 5.4380 5.4380 Å, 60.00 60.00 60.00°
Sites, in units of the cell vectors:
Y 0.0000 0.0000 0.0000
Te 0.2500 0.2500 0.2500
Te 0.7500 0.7500 0.7500
Br 0.5000 0.5000 0.5000

## Properties
Relative energy among the computed polymorphs: 0.578 eV per atom
Formation energy from raw total energies: -0.52 eV/atom
Calculated density: 6.19 Mg/m³
Space group: No. 225


(9)
Crystalline YTe2Br at its relaxed geometry. Source: the Alexandria database, functional PBE.

Cell: 9.1669 9.1669 9.1669 Å, 28.90 28.90 28.90°
Sites, in units of the cell vectors:
Y 0.0000 0.0000 0.0000
Te 0.3944 0.3944 0.3944
Te 0.6056 0.6056 0.6056
Br 0.5000 0.5000 0.5000

## Properties
Relative energy among the computed polymorphs: 0.235 eV per atom
Formation energy from raw total energies: -0.87 eV/atom
Calculated density: 4.43 Mg/m³
Space group: No. 166


(10)
Crystalline YTeBr2 at its relaxed geometry. Source: the Alexandria database, functional PBE.

Cell: 10.8016 10.8016 10.8016 Å, 19.75 19.75 19.75°
Sites, in units of the cell vectors:
Y 0.0000 0.0000 0.0000
Te 0.5000 0.5000 0.5000
Br 0.2746 0.2746 0.2746
Br 0.7254 0.7254 0.7254

## Properties
Relative energy among the computed polymorphs: 0.336 eV per atom
Formation energy from raw total energies: -0.98 eV/atom
Calculated density: 4.97 Mg/m³
Space group: No. 166


(11)
Crystalline YTeBr at its relaxed geometry. Source: the Alexandria database, functional PBE.

Cell: 8.6017 8.6017 6.1476 Å, 90.00 90.00 90.00°
Sites, in units of the cell vectors:
Y 0.0000 0.2587 0.0000
Y 0.0000 0.7413 0.0000
Y 0.2587 0.0000 0.5000
Y 0.7413 0.0000 0.5000
Te 0.0000 0.2510 0.5000
Te 0.0000 0.7490 0.5000
Te 0.2510 0.0000 0.0000
Te 0.7490 0.0000 0.0000
Br 0.2235 0.5000 0.0000
Br 0.5000 0.2235 0.5000
Br 0.5000 0.7765 0.5000
Br 0.7765 0.5000 0.0000

## Properties
Formation energy from raw total energies: -1.62 eV/atom
Calculated density: 4.33 Mg/m³
Space group: No. 131


(12)
Crystalline YTeBr at its relaxed geometry. Source: the Alexandria database, functional PBE.

Cell: 7.8482 7.7387 3.7389 Å, 77.76 74.50 27.75°
Sites, in units of the cell vectors:
Y 0.0000 0.0000 0.0000
Te 0.3835 0.3835 0.6165
Br 0.6276 0.6276 0.3724

## Properties
Formation energy from raw total energies: -1.31 eV/atom
Calculated density: 4.84 Mg/m³
Space group: No. 42